HfNb2TlOs | PBE | optimized geometry

Summary:
**Formation enthalpy at 0 K**: 788 kJ/mol of formula units
**D(E_F)**: 3.971 states/eV/cell
**Spin magnetization**: 0.137 μB/atom

abc: 4.971 4.971 4.818
angles: 90.00 90.00 90.00
Sites, in units of the cell vectors:
Hf 0.000 0.000 0.000
Nb 0.000 0.500 0.000
Nb 0.500 0.000 0.000
Tl 0.500 0.500 0.500
Os 0.000 0.000 0.500

---

PuHfFeOs | PBE | optimized geometry

Summary:
**Formation enthalpy at 0 K**: -65 kJ/mol of formula units
**D(E_F)**: 3.215 states/eV/cell
**Spin magnetization**: 0.878 μB/atom

abc: 4.650 4.650 4.650
angles: 60.00 60.00 60.00
Sites, in units of the cell vectors:
Pu 0.000 0.000 0.000
Hf 0.500 0.500 0.500
Fe 0.750 0.750 0.750
Os 0.250 0.250 0.250